Arrangement P

# BaBi2W PBE optimized geometry
data_BaBi2W
_chemical_formula_sum 'Ba4 Bi8 W4'
_cell_length_a 7.647
_cell_length_b 7.647
_cell_length_c 7.647
_cell_angle_alpha 90.00
_cell_angle_beta 90.00
_cell_angle_gamma 90.00
_symmetry_space_group_name_H-M 'F m -3 m'
_symmetry_Int_Tables_number 225
_symmetry_space_group_name_Hall '-F 4 2 3'
loop_
_atom_site_label
_atom_site_fract_x
_atom_site_fract_y
_atom_site_fract_z
Ba1 0.000 0.000 0.000
Bi1 0.250 0.250 0.250
W1 0.000 0.000 0.500
# DOS(E_F) in states/eV/atom: 0.9455
# Total magnetization in μB/f.u.: 1.5


Arrangement Q

# BaBi2W PBE optimized geometry
data_BaBi2W
_chemical_formula_sum 'Ba4 Bi8 W4'
_cell_length_a 6.310
_cell_length_b 6.310
_cell_length_c 16.737
_cell_angle_alpha 90.00
_cell_angle_beta 90.00
_cell_angle_gamma 90.00
_symmetry_space_group_name_H-M 'I -4 2 d'
_symmetry_Int_Tables_number 122
_symmetry_space_group_name_Hall 'I -4 2bw'
loop_
_atom_site_label
_atom_site_fract_x
_atom_site_fract_y
_atom_site_fract_z
Ba1 0.000 0.000 0.000
Bi1 0.075 0.250 0.625
W1 0.000 0.000 0.500
# DOS(E_F) in states/eV/atom: 0.1460
# Total magnetization in μB/f.u.: 0.0


The most stable arrangement is arrangement Q, and the next structure is 18 meV per atom less stable.